VASP calculation (PBE) on a geometry-optimized BaYBe2 structure.

As for the raw total energy: -13.08 eV for the cell shown. The calculation puts the excess energy over the best structure of this formula in the dataset at 447 meV/atom. The value obtained for the formation energy is 0.69 eV per atom. The calculation puts the total magnetization at 0.00 μB/cell. As for the calculated volume: 110.03 Å³/f.u.

Cell lengths 8.856, 8.856, 8.856 Å; angles 25.11, 25.11, 25.11 degrees
Positions (direct):
Be 0.988 0.988 0.988
Y 0.250 0.250 0.250
Be 0.512 0.512 0.512
Ba 0.750 0.750 0.750